Sc4SeS5 after structural relaxation. Source: the Alexandria database, functional PBE.

Summary:
Space-group type = No. 12
Density = 3.1 Mg/m³
E = -6.740 eV per atom

Unit cell a=8.2987 b=8.2987 c=7.6969 alpha=104.80 beta=104.80 gamma=26.01
Closest atoms and distances in Å follow each position.
Fractional coordinates of all 10 atoms:
Sc: 0.0048 0.0048 0.2703  4 S 2.46-2.62
Sc: 0.3193 0.3193 0.8841  5 S 2.52-2.64
Sc: 0.6807 0.6807 0.1159  5 S 2.52-2.64
Sc: 0.9952 0.9952 0.7297  4 S 2.46-2.62
Se: 0.5000 0.5000 0.0000  6 Sc 2.78-2.82
S: 0.1615 0.1615 0.8653  4 Sc 2.52-2.64
S: 0.1616 0.1616 0.3243  3 Sc 2.46-2.53
S: 0.5000 0.5000 0.5000  4 Sc 2.59
S: 0.8384 0.8384 0.6757  3 Sc 2.46-2.53
S: 0.8385 0.8385 0.1347  4 Sc 2.52-2.64

=====

Sc5Se4S after structural relaxation. Source: the Alexandria database, functional PBE.

Summary:
Space-group type = No. 87
Density = 4.7 Mg/m³
E = -6.627 eV per atom

Unit cell a=6.6576 b=6.6576 c=6.6576 alpha=99.56 beta=99.56 gamma=131.91
Closest atoms and distances in Å follow each position.
Fractional coordinates of all 10 atoms:
Sc: 0.0000 0.0000 0.0000  2 S 2.71, 4 Se 2.74
Sc: 0.2255 0.5950 0.8205  1 S 2.50, 4 Se 2.72-2.76
Sc: 0.4050 0.2255 0.6305  1 S 2.50, 4 Se 2.72-2.76
Sc: 0.5950 0.7745 0.3695  1 S 2.50, 4 Se 2.72-2.76
Sc: 0.7745 0.4050 0.1795  1 S 2.50, 4 Se 2.72-2.76
Se: 0.0935 0.3041 0.3975  6 Sc 2.72-2.88
Se: 0.3041 0.9065 0.2106  6 Sc 2.72-2.88
Se: 0.6959 0.0935 0.7894  6 Sc 2.72-2.88
Se: 0.9065 0.6959 0.6025  6 Sc 2.72-2.88
S: 0.5000 0.5000 0.0000  6 Sc 2.50-2.71

=====

Sc3Se3S after structural relaxation. Source: the Alexandria database, functional PBE.

Summary:
Space-group type = No. 214
Density = 4.3 Mg/m³
E = -6.553 eV per atom

Unit cell a=9.2980 b=9.2980 c=9.2980 alpha=109.47 beta=109.47 gamma=109.47
Closest atoms and distances in Å follow each position.
Fractional coordinates of all 28 atoms:
Sc: 0.9997 0.5003 0.7500  4 Se 2.68-2.69, 2 S 2.69
Sc: 0.9997 0.9994 0.2497  4 Se 2.68-2.69, 2 S 2.69
Sc: 0.2497 0.9997 0.9994  4 Se 2.68-2.69, 2 S 2.69
Sc: 0.2503 0.2497 0.7500  4 Se 2.68-2.69, 2 S 2.69
Sc: 0.2503 0.5006 0.5003  4 Se 2.68-2.69, 2 S 2.69
Sc: 0.2497 0.7500 0.2503  4 Se 2.68-2.69, 2 S 2.69
Sc: 0.5003 0.2503 0.5006  4 Se 2.68-2.69, 2 S 2.69
Sc: 0.5003 0.7500 0.9997  4 Se 2.68-2.69, 2 S 2.69
Sc: 0.5006 0.5003 0.2503  4 Se 2.68-2.69, 2 S 2.69
Sc: 0.7500 0.9997 0.5003  4 Se 2.68-2.69, 2 S 2.69
Sc: 0.7500 0.2503 0.2497  4 Se 2.68-2.69, 2 S 2.69
Sc: 0.9994 0.2497 0.9997  4 Se 2.68-2.69, 2 S 2.69
Se: 0.2500 0.7505 0.7495  4 Sc 2.68-2.69
Se: 0.2500 0.9995 0.5005  4 Sc 2.68-2.69
Se: 0.5005 0.2500 0.9995  4 Sc 2.68-2.69
Se: 0.5010 0.5005 0.7505  4 Sc 2.68-2.69
Se: 0.5005 0.7505 0.5010  4 Sc 2.68-2.69
Se: 0.7495 0.2500 0.7505  4 Sc 2.68-2.69
Se: 0.7495 0.9995 0.9990  4 Sc 2.68-2.69
Se: 0.7505 0.5010 0.5005  4 Sc 2.68-2.69
Se: 0.7505 0.7495 0.2500  4 Sc 2.68-2.69
Se: 0.9995 0.5005 0.2500  4 Sc 2.68-2.69
Se: 0.9990 0.7495 0.9995  4 Sc 2.68-2.69
Se: 0.9995 0.9990 0.7495  4 Sc 2.68-2.69
S: 0.0000 0.2500 0.5000  6 Sc 2.69
S: 0.2500 0.2500 0.2500  6 Sc 2.69
S: 0.2500 0.5000 0.0000  6 Sc 2.69
S: 0.5000 0.0000 0.2500  6 Sc 2.69

=====

Sc5SeS5 after structural relaxation. Source: the Alexandria database, functional PBE.

Summary:
Space-group type = No. 12
Density = 3.6 Mg/m³
E = -6.944 eV per atom

Unit cell a=6.4112 b=6.4112 c=7.4209 alpha=106.51 beta=106.51 gamma=48.44
Closest atoms and distances in Å follow each position.
Fractional coordinates of all 11 atoms:
Sc: 0.0000 0.0000 0.0000  4 S 2.61-2.63, 2 Se 2.63
Sc: 0.3307 0.3307 0.6528  5 S 2.56-2.65, 1 Se 2.72
Sc: 0.3356 0.3356 0.1808  5 S 2.54-2.65, 1 Se 2.67
Sc: 0.6644 0.6644 0.8192  5 S 2.54-2.65, 1 Se 2.67
Sc: 0.6693 0.6693 0.3472  5 S 2.56-2.65, 1 Se 2.72
Se: 0.5000 0.5000 0.0000  6 Sc 2.63-2.72
S: 0.1641 0.1641 0.3324  5 Sc 2.56-2.63
S: 0.1717 0.1717 0.8404  5 Sc 2.63-2.65
S: 0.5000 0.5000 0.5000  4 Sc 2.54-2.57
S: 0.8283 0.8283 0.1596  5 Sc 2.63-2.65
S: 0.8359 0.8359 0.6676  5 Sc 2.56-2.63

=====

Sc2SeS after structural relaxation. Source: the Alexandria database, functional PBE.

Summary:
Space-group type = No. 4
Density = 3.3 Mg/m³
E = -6.472 eV per atom

Unit cell a=4.1443 b=5.8989 c=8.3979 alpha=90.00 beta=90.01 gamma=90.00
Closest atoms and distances in Å follow each position.
Fractional coordinates of all 8 atoms:
Sc: 0.2495 0.0000 0.1308  1 S 2.49, 3 Se 2.62
Sc: 0.2506 0.0389 0.6151  3 S 2.50, 1 Se 2.62
Sc: 0.7494 0.5389 0.3849  3 S 2.50, 1 Se 2.62
Sc: 0.7505 0.5000 0.8692  1 S 2.49, 3 Se 2.62
Se: 0.2507 0.7707 0.8643  4 Sc 2.62
Se: 0.7493 0.2707 0.1357  4 Sc 2.62
S: 0.2495 0.7756 0.3818  4 Sc 2.49-2.50
S: 0.7505 0.2756 0.6182  4 Sc 2.49-2.50

=====

Sc2SeS after structural relaxation. Source: the Alexandria database, functional PBE.

Summary:
Space-group type = No. 160
Density = 4.4 Mg/m³
E = -6.833 eV per atom

Unit cell a=6.8301 b=6.8301 c=6.8301 alpha=31.34 beta=31.34 gamma=31.34
Closest atoms and distances in Å follow each position.
Fractional coordinates of all 4 atoms:
Sc: 0.0000 0.0000 0.0000  3 S 2.59, 3 Se 2.81
Sc: 0.1854 0.1854 0.1854  3 S 2.55, 3 Se 2.77
Se: 0.7609 0.7609 0.7609  6 Sc 2.77-2.81
S: 0.5907 0.5907 0.5907  6 Sc 2.55-2.59

=====

Sc3Se3S after structural relaxation. Source: the Alexandria database, functional PBE.

Summary:
Space-group type = No. 63
Density = 3.6 Mg/m³
E = -6.390 eV per atom

Unit cell a=8.8458 b=8.8458 c=5.4277 alpha=90.00 beta=90.00 gamma=119.98
Closest atoms and distances in Å follow each position.
Fractional coordinates of all 14 atoms:
Sc: 0.1714 0.3422 0.7500  1 S 2.49, 4 Se 2.63-2.71
Sc: 0.1707 0.8293 0.7500  1 S 2.49, 4 Se 2.64-2.71
Sc: 0.3422 0.1714 0.2500  1 S 2.49, 4 Se 2.63-2.71
Sc: 0.6578 0.8286 0.7500  1 S 2.49, 4 Se 2.63-2.71
Sc: 0.8293 0.1707 0.2500  1 S 2.49, 4 Se 2.64-2.71
Sc: 0.8286 0.6578 0.2500  1 S 2.49, 4 Se 2.63-2.71
Se: 0.1731 0.8269 0.2500  4 Sc 2.64-2.71
Se: 0.1739 0.3470 0.2500  4 Sc 2.63-2.71
Se: 0.3470 0.1739 0.7500  4 Sc 2.63-2.71
Se: 0.6530 0.8261 0.2500  4 Sc 2.63-2.71
Se: 0.8261 0.6530 0.7500  4 Sc 2.63-2.71
Se: 0.8269 0.1731 0.7500  4 Sc 2.64-2.71
S: 0.3331 0.6669 0.7500  3 Sc 2.49
S: 0.6669 0.3331 0.2500  3 Sc 2.49

=====

Sc4SeS2 after structural relaxation. Source: the Alexandria database, functional PBE.

Summary:
Space-group type = No. 166
Density = 3.9 Mg/m³
E = -6.830 eV per atom

Unit cell a=12.1292 b=12.1292 c=12.1292 alpha=17.39 beta=17.39 gamma=17.39
Closest atoms and distances in Å follow each position.
Fractional coordinates of all 7 atoms:
Sc: 0.1303 0.1303 0.1303  3 S 2.57
Sc: 0.2839 0.2839 0.2839  3 S 2.56, 3 Se 2.76
Sc: 0.7161 0.7161 0.7161  3 S 2.56, 3 Se 2.76
Sc: 0.8697 0.8697 0.8697  3 S 2.57
Se: 0.0000 0.0000 0.0000  6 Sc 2.76
S: 0.4228 0.4228 0.4228  6 Sc 2.56-2.57
S: 0.5772 0.5772 0.5772  6 Sc 2.56-2.57

=====

Sc4Se3S2 after structural relaxation. Source: the Alexandria database, functional PBE.

Summary:
Space-group type = No. 12
Density = 4.1 Mg/m³
E = -6.671 eV per atom

Unit cell a=6.6502 b=6.6502 c=9.4280 alpha=120.15 beta=120.15 gamma=33.32
Closest atoms and distances in Å follow each position.
Fractional coordinates of all 9 atoms:
Sc: 0.0949 0.0949 0.3919  1 S 2.56, 5 Se 2.72-2.78
Sc: 0.2934 0.2934 0.1825  3 S 2.52-2.58, 3 Se 2.76-2.77
Sc: 0.7066 0.7066 0.8175  3 S 2.52-2.58, 3 Se 2.76-2.77
Sc: 0.9051 0.9051 0.6081  1 S 2.56, 5 Se 2.72-2.78
Se: 0.3055 0.3055 0.7082  5 Sc 2.72-2.78
Se: 0.5000 0.5000 0.5000  6 Sc 2.73-2.76
Se: 0.6945 0.6945 0.2918  5 Sc 2.72-2.78
S: 0.1069 0.1069 0.8910  4 Sc 2.52-2.58
S: 0.8931 0.8931 0.1090  4 Sc 2.52-2.58

=====

Sc6Se2S3 after structural relaxation. Source: the Alexandria database, functional PBE.

Summary:
Space-group type = No. 12
Density = 4.0 Mg/m³
E = -6.816 eV per atom

Unit cell a=6.4209 b=6.4209 c=6.5147 alpha=99.55 beta=99.55 gamma=119.93
Closest atoms and distances in Å follow each position.
Fractional coordinates of all 11 atoms:
Sc: 0.0889 0.4225 0.7684  3 S 2.55-2.57, 2 Se 2.71
Sc: 0.2420 0.2420 0.2226  3 S 2.54-2.56, 2 Se 2.72
Sc: 0.4225 0.0889 0.7684  3 S 2.55-2.57, 2 Se 2.71
Sc: 0.5775 0.9111 0.2316  3 S 2.55-2.57, 2 Se 2.71
Sc: 0.7580 0.7580 0.7774  3 S 2.54-2.56, 2 Se 2.72
Sc: 0.9111 0.5775 0.2316  3 S 2.55-2.57, 2 Se 2.71
Se: 0.3350 0.6650 0.5000  6 Sc 2.71-2.72
Se: 0.6650 0.3350 0.5000  6 Sc 2.71-2.72
S: 0.1691 0.8309 0.0000  6 Sc 2.55-2.57
S: 0.5000 0.5000 0.0000  6 Sc 2.54-2.57
S: 0.8309 0.1691 0.0000  6 Sc 2.55-2.57

=====

Sc3Se2S2 after structural relaxation. Source: the Alexandria database, functional PBE.

Summary:
Space-group type = No. 12
Density = 4.0 Mg/m³
E = -6.726 eV per atom

Unit cell a=6.4540 b=6.4540 c=6.5824 alpha=99.07 beta=99.07 gamma=33.56
Closest atoms and distances in Å follow each position.
Fractional coordinates of all 7 atoms:
Sc: 0.0000 0.0000 0.0000  4 S 2.62, 2 Se 2.68
Sc: 0.2462 0.2462 0.7509  3 S 2.62-2.63, 3 Se 2.69-2.70
Sc: 0.7538 0.7538 0.2491  3 S 2.62-2.63, 3 Se 2.69-2.70
Se: 0.1220 0.1220 0.3756  4 Sc 2.68-2.70
Se: 0.8780 0.8780 0.6244  4 Sc 2.68-2.70
S: 0.3729 0.3729 0.1129  5 Sc 2.62-2.63
S: 0.6271 0.6271 0.8871  5 Sc 2.62-2.63

=====

no.,uncorrected formation energy (kJ/mol of atoms)
1,-173.2
2,-159.7
3,-169.5
4,-180.7
5,-135.4
6,-170.3
7,-153.7
8,-148.1
9,-171.6
10,-154.7
11,-177.3